Record 1
Ho4TlZn3 | the Alexandria database | PBE | optimized geometry; space-group type = No. 166; relative energy among the computed polymorphs = 0 meV per atom; total DFT energy (no corrections) = -3.40 eV/atom; calculated density = 9.310 g cm⁻³; ΔH_f (0 K) = -2.67 eV per formula unit
1.0
2.548 1.471 8.409
-2.548 1.471 8.409
0.000 -2.942 8.409
Ho Tl Zn
4 1 3
Cartesian
0.000 0.000 3.032
0.000 0.000 9.351
0.000 0.000 15.877
0.000 0.000 22.197
0.000 0.000 12.614
0.000 0.000 0.000
0.000 0.000 6.365
0.000 0.000 18.864



Record 2
Ho4Tl2Zn | the Alexandria database | PBE | optimized geometry; space-group type = No. 166; total DFT energy (no corrections) = -3.68 eV/atom; calculated density = 9.574 g cm⁻³; ΔH_f (0 K) = -1.44 eV per formula unit
1.0
2.593 1.497 8.445
-2.593 1.497 8.445
0.000 -2.994 8.445
Ho Tl Zn
4 2 1
Cartesian
0.000 0.000 3.151
0.000 0.000 9.503
0.000 0.000 15.832
0.000 0.000 22.183
0.000 0.000 6.287
0.000 0.000 19.048
0.000 0.000 0.000



Record 3
Ho8TlZn2 | the Alexandria database | PBE | optimized geometry; space-group type = No. 12; relative energy among the computed polymorphs = 109 meV per atom; total DFT energy (no corrections) = -3.85 eV/atom; calculated density = 8.880 g cm⁻³; ΔH_f (0 K) = -0.79 eV per formula unit
1.0
4.366 -6.931 0.000
4.366 6.931 0.000
-1.722 0.000 5.113
Ho Tl Zn
8 1 2
Cartesian
0.783 1.699 3.073
4.366 3.715 0.000
0.783 -1.699 3.073
3.110 0.000 1.006
3.899 0.000 4.106
6.226 1.699 2.040
4.366 -3.715 0.000
6.226 -1.699 2.040
0.000 0.000 0.000
3.505 2.680 2.556
3.505 -2.680 2.556



Record 4
Ho4TlZn3 | the Alexandria database | PBE | optimized geometry; space-group type = No. 25; relative energy among the computed polymorphs = 45 meV per atom; total DFT energy (no corrections) = -3.35 eV/atom; calculated density = 9.059 g cm⁻³; ΔH_f (0 K) = -2.31 eV per formula unit
1.0
3.721 0.000 0.000
0.000 4.568 0.000
0.000 0.000 11.435
Ho Tl Zn
4 1 3
Cartesian
0.000 0.000 0.000
0.000 2.284 3.304
1.860 0.000 5.458
1.860 2.284 9.198
0.000 0.000 8.158
0.000 2.284 6.383
1.860 0.000 2.422
1.860 2.284 0.818



Record 5
Ho5Tl4Zn | the Alexandria database | PBE | optimized geometry; space-group type = No. 123; total DFT energy (no corrections) = -3.71 eV/atom; calculated density = 10.858 g cm⁻³; ΔH_f (0 K) = -3.49 eV per formula unit
1.0
3.623 0.000 0.000
0.000 3.623 0.000
0.000 0.000 19.900
Ho Tl Zn
5 4 1
Cartesian
0.000 0.000 0.000
0.000 0.000 4.145
0.000 0.000 8.253
0.000 0.000 11.647
0.000 0.000 15.755
1.811 1.811 2.080
1.811 1.811 6.208
1.811 1.811 13.692
1.811 1.811 17.820
1.811 1.811 9.950



Record 6
Ho5Tl2Zn2 | the Alexandria database | PBE | optimized geometry; space-group type = No. 64; total DFT energy (no corrections) = -3.61 eV/atom; calculated density = 9.533 g cm⁻³; ΔH_f (0 K) = -2.33 eV per formula unit
1.0
8.408 -3.764 0.000
8.408 3.764 0.000
0.000 0.000 7.510
Ho Tl Zn
10 4 4
Cartesian
0.000 0.000 0.000
6.240 2.359 5.095
6.240 1.404 1.340
10.575 2.359 5.095
10.575 1.404 1.340
8.408 0.000 3.755
6.240 -1.404 6.169
6.240 -2.359 2.415
10.575 -1.404 6.169
10.575 -2.359 2.415
3.800 0.000 0.000
4.607 0.000 3.755
12.208 0.000 3.755
13.015 0.000 0.000
8.408 2.877 2.856
8.408 0.886 6.610
8.408 -0.886 0.899
8.408 -2.877 4.654



Record 7
HoTlZn4 | the Alexandria database | PBE | optimized geometry; space-group type = No. 216; total DFT energy (no corrections) = -2.10 eV/atom; calculated density = 8.887 g cm⁻³; ΔH_f (0 K) = -0.58 eV per formula unit
1.0
0.000 3.892 3.892
3.892 0.000 3.892
3.892 3.892 0.000
Ho Tl Zn
1 1 4
Cartesian
0.000 0.000 0.000
5.838 5.838 5.838
2.910 2.910 2.910
4.873 4.873 2.910
4.873 2.910 4.873
2.910 4.873 4.873



Record 8
Ho6Tl2Zn | the Alexandria database | PBE | optimized geometry; space-group type = No. 71; total DFT energy (no corrections) = -3.73 eV/atom; calculated density = 8.731 g cm⁻³; ΔH_f (0 K) = -0.06 eV per formula unit
1.0
-2.540 3.595 7.622
2.540 -3.595 7.622
2.540 3.595 -7.622
Ho Tl Zn
6 2 1
Cartesian
2.540 1.744 -2.448
0.000 1.686 0.000
2.540 1.744 2.448
0.000 1.852 5.174
0.000 5.505 0.000
0.000 1.852 10.070
2.540 0.000 5.078
0.000 3.595 2.544
2.540 0.000 0.000



Record 9
Ho4TlZn2 | the Alexandria database | PBE | optimized geometry; space-group type = No. 166; relative energy among the computed polymorphs = 121 meV per atom; total DFT energy (no corrections) = -3.37 eV/atom; calculated density = 8.505 g cm⁻³; ΔH_f (0 K) = -0.37 eV per formula unit
1.0
2.457 1.419 9.286
-2.457 1.419 9.286
0.000 -2.838 9.286
Ho Tl Zn
4 1 2
Cartesian
0.000 0.000 3.256
0.000 0.000 8.316
0.000 0.000 19.541
0.000 0.000 24.601
0.000 0.000 13.929
0.000 0.000 11.186
0.000 0.000 16.671



Record 10
Ho4TlZn2 | the Alexandria database | PBE | optimized geometry; space-group type = No. 166; relative energy among the computed polymorphs = 0 meV per atom; total DFT energy (no corrections) = -3.49 eV/atom; calculated density = 9.116 g cm⁻³; ΔH_f (0 K) = -1.22 eV per formula unit
1.0
2.532 1.462 8.163
-2.532 1.462 8.163
0.000 -2.923 8.163
Ho Tl Zn
4 1 2
Cartesian
0.000 0.000 2.785
0.000 0.000 9.005
0.000 0.000 15.484
0.000 0.000 21.704
0.000 0.000 12.245
0.000 0.000 6.068
0.000 0.000 18.421



Record 11
Ho6Tl5Zn | the Alexandria database | PBE | optimized geometry; space-group type = No. 12; relative energy among the computed polymorphs = 88 meV per atom; total DFT energy (no corrections) = -3.62 eV/atom; calculated density = 10.180 g cm⁻³; ΔH_f (0 K) = -2.86 eV per formula unit
1.0
3.217 -5.603 0.000
3.217 5.603 0.000
-2.200 0.000 9.399
Ho Tl Zn
6 5 1
Cartesian
-0.080 1.818 6.970
0.992 0.000 2.365
-0.080 -1.818 6.970
4.313 1.818 2.429
3.240 0.000 7.034
4.313 -1.818 2.429
3.217 3.661 0.000
2.116 1.821 4.699
3.217 0.000 0.000
2.116 -1.821 4.699
3.217 -3.661 0.000
-1.100 0.000 4.699



Record 12
Ho3Tl2Zn | the Alexandria database | PBE | optimized geometry; space-group type = No. 123; total DFT energy (no corrections) = -3.64 eV/atom; calculated density = 10.537 g cm⁻³; ΔH_f (0 K) = -2.07 eV per formula unit
1.0
3.646 0.000 0.000
0.000 3.646 0.000
0.000 0.000 11.486
Ho Tl Zn
3 2 1
Cartesian
0.000 0.000 0.000
0.000 0.000 4.057
0.000 0.000 7.429
1.823 1.823 2.039
1.823 1.823 9.447
1.823 1.823 5.743



Which of these has the highest total DFT energy (no corrections)?
HoTlZn4